Entry from Alexandria: crystalline NiAs2Rh at its relaxed geometry (PBE-GGA).

extended XYZ file:
```
4
Lattice="-4.1891 -1.6808 2.5798 0.6663 -2.3894 4.5690 0.9181 4.3718 -2.6595" Properties=species:S:1:pos:R:3 pbc="T T T"
Rh -2.5637 0.2731 1.8436
As -0.1459 -0.0927 2.8584
As -3.4965 -4.0398 7.0953
Ni -1.6829 -1.9444 3.4150
```

Calculated values
- ΔH_f (0 K): -0.18 eV/f.u.
- Magnetic moment: 0.00 μB per formula unit
- Space group: Imm2
- Crystal system: orthorhombic
- Density of states at the Fermi level: 2.552 states/eV/cell

***

Entry from Alexandria: crystalline BaFe2Tc at its relaxed geometry (PBE-GGA).

extended XYZ file:
```
4
Lattice="4.6950 -0.0216 0.0000 0.0169 4.6950 0.0000 -2.3560 -2.3367 3.3215" Properties=species:S:1:pos:R:3 pbc="T T T"
Fe 0.0000 0.0000 0.0000
Fe 0.0085 2.3475 1.6608
Tc 2.3560 2.3367 0.0000
Ba 2.3475 -0.0108 1.6608
```

Calculated values
- ΔH_f (0 K): 4.84 eV/f.u.
- Polymorph energy (0 for the lowest one): 755 meV per atom
- Magnetic moment: 6.40 μB per formula unit
- Space group: F-43m
- Crystal system: cubic
- Density of states at the Fermi level: 6.268 states/eV/cell

***

Entry from Alexandria: crystalline HfZn2Pd at its relaxed geometry (PBE-GGA).

extended XYZ file:
```
4
Lattice="-2.5888 -3.4219 -0.7477 -0.1505 -0.7253 3.8408 -3.1420 2.3087 0.3129" Properties=species:S:1:pos:R:3 pbc="T T T"
Zn -1.5710 1.1544 0.1564
Zn -0.0753 -0.3627 1.9204
Hf -2.9407 -0.9193 1.7030
Pd -1.2944 -1.7109 -0.3738
```

Calculated values
- ΔH_f (0 K): -1.28 eV/f.u.
- Magnetic moment: 0.00 μB per formula unit
- Space group: P4/mmm
- Crystal system: tetragonal
- Density of states at the Fermi level: 2.581 states/eV/cell

***

Entry from Alexandria: crystalline Li2MnHg at its relaxed geometry (PBE-GGA).

extended XYZ file:
```
4
Lattice="5.4963 0.0055 0.0080 -2.1640 4.5354 0.0061 0.6591 0.6447 2.8217" Properties=species:S:1:pos:R:3 pbc="T T T"
Li 0.0000 0.0000 0.0000
Li -0.7524 2.5900 1.4139
Mn 1.6661 2.2704 0.0070
Hg 3.0777 0.3251 1.4149
```

Calculated values
- ΔH_f (0 K): 0.46 eV/f.u.
- Magnetic moment: 3.97 μB per formula unit
- Space group: C2/m
- Crystal system: monoclinic
- Density of states at the Fermi level: 2.258 states/eV/cell

***

Entry from Alexandria: crystalline CaTc2Cl2 at its relaxed geometry (PBE-GGA).

extended XYZ file:
```
5
Lattice="3.4235 0.0000 0.0000 0.0000 3.4235 0.0000 1.7117 1.7117 11.9248" Properties=species:S:1:pos:R:3 pbc="T T T"
Ca 0.0000 0.0000 0.0000
Tc 1.7117 3.4235 5.9624
Tc 3.4235 1.7117 5.9624
Cl 1.7117 1.7117 1.5682
Cl 3.4235 3.4235 10.3566
```

Calculated values
- Raw formation energy: -0.38 eV/atom
- Polymorph energy (0 for the lowest one): 0 meV per atom
- Magnetic moment: 0.00 μB per formula unit
- Space group: I4/mmm
- Crystal system: tetragonal
- Density of states at the Fermi level: 2.955 states/eV/cell

***

Entry from Alexandria: crystalline AcSm7In4 at its relaxed geometry (PBE-GGA).

extended XYZ file:
```
12
Lattice="-2.4299 0.6707 -5.3685 6.1491 -3.3741 -6.4809 -3.4376 -6.5593 -2.5396" Properties=species:S:1:pos:R:3 pbc="T T T"
Sm 2.6696 -3.7780 -4.9564
Sm 1.6206 -5.9766 -11.3085
Sm 0.5928 -7.0746 -7.7044
Sm -0.3113 -2.1880 -6.6846
Sm -1.3391 -3.2860 -3.0805
Sm -2.3881 -5.4847 -9.4326
Sm -1.2150 0.3354 -2.6842
Ac 0.0000 0.0000 0.0000
In -0.8635 -8.1108 -10.4507
In -2.0750 -4.6428 -6.1930
In 1.1450 -1.1518 -3.9383
In 2.3566 -4.6199 -8.1960
```

Calculated values
- ΔH_f (0 K): -1.21 eV/f.u.
- Magnetic moment: 0.42 μB per formula unit
- Space group: C2/m
- Crystal system: monoclinic
- Density of states at the Fermi level: 13.202 states/eV/cell

***

Entry from Alexandria: crystalline CrMoPt at its relaxed geometry (PBE-GGA).

extended XYZ file:
```
6
Lattice="2.6986 0.0000 0.0000 -1.3493 6.9762 1.2307 0.0000 1.5693 5.2776" Properties=species:S:1:pos:R:3 pbc="T T T"
Cr 0.0000 4.6837 3.9816
Cr 1.3493 3.8617 2.5267
Mo 1.3493 6.5023 2.4931
Mo 0.0000 2.0432 4.0152
Pt 1.3493 6.4356 5.4698
Pt 0.0000 2.1099 1.0385
```

Calculated values
- ΔH_f (0 K): 0.99 eV/f.u.
- Polymorph energy (0 for the lowest one): 371 meV per atom
- Magnetic moment: 0.00 μB per formula unit
- Space group: C2/m
- Crystal system: monoclinic
- Density of states at the Fermi level: 5.771 states/eV/cell

***

Entry from Alexandria: crystalline La6Tl2CoNi at its relaxed geometry (PBE-GGA).

extended XYZ file:
```
10
Lattice="7.6820 -0.1640 -0.0144 -0.1642 7.6917 0.0018 -3.7681 -3.7594 5.3193" Properties=species:S:1:pos:R:3 pbc="T T T"
Ni -0.0092 0.0078 5.3121
Co 3.9139 -3.9195 5.3038
La 2.0467 -1.8629 5.2896
La 1.7029 5.6388 0.0149
La -1.8286 -2.0095 4.7496
La 5.5782 5.7854 0.5550
La 3.3561 3.3574 2.6998
La 0.3932 0.4188 2.6048
Tl 3.8371 -0.0730 2.6717
Tl -0.0876 3.8490 2.6327
```

Calculated values
- ΔH_f (0 K): -2.63 eV/f.u.
- Magnetic moment: 0.00 μB per formula unit
- Space group: P-1
- Crystal system: triclinic
- Density of states at the Fermi level: 11.326 states/eV/cell

***

Entry from Alexandria: crystalline KMg2RhPb at its relaxed geometry (PBE-GGA).

extended XYZ file:
```
5
Lattice="-4.0417 2.1557 2.4041 -1.6163 -4.6850 1.4836 2.8236 0.4121 4.3774" Properties=species:S:1:pos:R:3 pbc="T T T"
Pb 1.4118 0.2060 2.1887
Rh 0.0000 0.0000 0.0000
Mg -2.0209 1.0779 1.2021
Mg -0.8082 -2.3425 0.7418
K -1.4172 -1.0586 4.1326
```

Calculated values
- ΔH_f (0 K): -0.90 eV/f.u.
- Magnetic moment: 0.00 μB per formula unit
- Space group: P4/mmm
- Crystal system: tetragonal
- Density of states at the Fermi level: 1.507 states/eV/cell

***

Entry from Alexandria: crystalline TlIr at its relaxed geometry (PBE-GGA).

extended XYZ file:
```
12
Lattice="2.9217 0.0000 0.0000 0.0000 12.4173 0.0000 0.0000 0.0000 7.8045" Properties=species:S:1:pos:R:3 pbc="T T T"
Tl 0.0000 2.3759 2.0542
Tl 0.0000 6.2086 2.7533
Tl 0.0000 3.8327 5.9565
Tl 0.0000 10.0414 2.0542
Tl 0.0000 0.0000 6.6556
Tl 0.0000 8.5846 5.9565
Ir 0.0000 0.0000 3.5606
Ir 1.4608 8.1158 0.6500
Ir 1.4608 1.9072 4.5522
Ir 1.4608 10.5101 4.5522
Ir 1.4608 4.3015 0.6500
Ir 0.0000 6.2086 7.4628
```

Calculated values
- ΔH_f (0 K): 0.92 eV/f.u.
- Magnetic moment: 0.00 μB per formula unit
- Space group: Amm2
- Crystal system: orthorhombic
- Density of states at the Fermi level: 4.805 states/eV/cell

***

Entry from Alexandria: crystalline LiNd12Ga6 at its relaxed geometry (PBE-GGA).

extended XYZ file:
```
19
Lattice="8.9186 -0.8204 -0.9829 -2.1630 8.6911 -0.9829 -2.1630 -2.5201 8.3756" Properties=species:S:1:pos:R:3 pbc="T T T"
Nd 0.9015 -2.3619 6.8761
Nd 5.2599 3.4131 3.0052
Nd 3.6910 7.7125 -0.4662
Nd 3.0701 -0.2043 2.5147
Nd -0.6673 1.9375 3.4047
Nd 6.9677 1.9808 -1.0952
Nd 2.0163 3.4153 0.2484
Nd 1.5224 5.5549 3.8952
Nd 7.0638 -1.3195 4.6567
Nd 2.5762 1.9353 6.1615
Nd -2.4713 6.6701 1.7532
Nd -2.3752 3.3699 7.5051
Ga -0.4039 4.5081 1.8847
Ga 4.5172 1.8035 0.6164
Ga 3.4947 5.5909 1.6376
Ga 4.9965 0.8425 4.5252
Ga 1.0979 -0.2403 4.7723
Ga 0.0753 3.5471 5.7935
Li 0.0000 0.0000 0.0000
```

Calculated values
- ΔH_f (0 K): -2.96 eV/f.u.
- Magnetic moment: 0.00 μB per formula unit
- Space group: R-3
- Crystal system: trigonal
- Density of states at the Fermi level: 22.197 states/eV/cell

***

Entry from Alexandria: crystalline Sr2GePb at its relaxed geometry (PBE-GGA).

extended XYZ file:
```
4
Lattice="4.7069 0.0000 0.0000 0.0000 5.1298 0.0000 0.0000 0.0000 5.1298" Properties=species:S:1:pos:R:3 pbc="T T T"
Pb 2.3535 2.5649 2.5649
Sr 0.0000 0.0000 2.5649
Sr 0.0000 2.5649 0.0000
Ge 2.3535 0.0000 0.0000
```

Calculated values
- ΔH_f (0 K): -1.76 eV/f.u.
- Polymorph energy (0 for the lowest one): 120 meV per atom
- Magnetic moment: 0.00 μB per formula unit
- Space group: P4/mmm
- Crystal system: tetragonal
- Density of states at the Fermi level: 1.066 states/eV/cell